1.
## Ac15PmSm4 (PBE)

Data for a relaxed Ac15PmSm4 crystal.

Summary:
space-group type = No. 123
total DFT energy (no corrections) = -84.69 eV for the cell shown
formation energy from the elements = 0.57 eV per formula unit

abc: 5.5307 5.5307 27.4999
angles: 90.00 90.00 90.00
Fractional coordinates of all 20 atoms:
Ac 0.0000 0.5000 0.3001
Pm 0.0000 0.0000 0.0000
Ac 0.0000 0.5000 0.1002
Ac 0.5000 0.5000 0.0000
Ac 0.5000 0.0000 0.6999
Sm 0.0000 0.0000 0.6000
Ac 0.5000 0.0000 0.1002
Ac 0.0000 0.5000 0.8998
Sm 0.0000 0.0000 0.4000
Ac 0.5000 0.5000 0.7998
Ac 0.5000 0.5000 0.2002
Ac 0.0000 0.5000 0.6999
Sm 0.0000 0.0000 0.7998
Ac 0.0000 0.5000 0.5000
Ac 0.5000 0.5000 0.4000
Sm 0.0000 0.0000 0.2002
Ac 0.5000 0.0000 0.8998
Ac 0.5000 0.0000 0.3001
Ac 0.5000 0.0000 0.5000
Ac 0.5000 0.5000 0.6000

2.
## AcPmSm (PBE)

Data for a relaxed AcPmSm crystal.

Summary:
space-group type = No. 129
total DFT energy (no corrections) = -25.51 eV for the cell shown
formation energy from the elements = 0.82 eV per formula unit
polymorph energy (0 for the lowest one) = 0.236 eV per atom

abc: 5.1331 5.1331 8.9124
angles: 90.00 90.00 90.00
Fractional coordinates of all 6 atoms:
Pm 0.5000 0.0000 0.6966
Ac 0.0000 0.0000 0.0000
Ac 0.5000 0.5000 0.0000
Pm 0.0000 0.5000 0.3034
Sm 0.5000 0.0000 0.3039
Sm 0.0000 0.5000 0.6961